(1)
Here is an optimized crystal structure of LiOsSI2 from Alexandria via LeMat-Bulk. Energies are from GGA-PBEsol.

Computed properties:
calculated density	6.26	Mg/m³
symmetry	P4/mmm

a = 5.0981 Å, b = 5.0981 Å, c = 4.9320 Å
α = 90.00°, β = 90.00°, γ = 90.00°
With the nearest neighbours (Å) after each atom.
Sites, in units of the cell vectors:
1 Li 0.0000 0.0000 0.0000  2 Os 2.47
2 Os 0.0000 0.0000 0.5000  2 Li 2.47, 4 I 2.55
3 S 0.5000 0.5000 0.0000  8 I 3.55, 4 Li 3.60
4 I 0.0000 0.5000 0.5000  2 Os 2.55
5 I 0.5000 0.0000 0.5000  2 Os 2.55

***

(2)
Here is an optimized crystal structure of LiSbOsI2 from Alexandria via LeMat-Bulk. Energies are from GGA-PBEsol.

Computed properties:
calculated density	6.03	Mg/m³
symmetry	P4/mmm

a = 5.6662 Å, b = 5.6662 Å, c = 4.9147 Å
α = 90.00°, β = 90.00°, γ = 90.00°
With the nearest neighbours (Å) after each atom.
Sites, in units of the cell vectors:
1 Li 0.0000 0.0000 0.0000  8 I 3.75, 4 Sb 4.01
2 Sb 0.5000 0.5000 0.0000  2 Os 2.46
3 Os 0.5000 0.5000 0.5000  2 Sb 2.46
4 I 0.0000 0.5000 0.5000  2 Os 2.83
5 I 0.5000 0.0000 0.5000  2 Os 2.83

***

(3)
Here is an optimized crystal structure of LiTeOsI2 from Alexandria via LeMat-Bulk. Energies are from GGA-PBEsol.

Computed properties:
calculated density	7.45	Mg/m³
symmetry	P4/mmm

a = 4.9857 Å, b = 4.9857 Å, c = 5.1869 Å
α = 90.00°, β = 90.00°, γ = 90.00°
With the nearest neighbours (Å) after each atom.
Sites, in units of the cell vectors:
1 Li 0.0000 0.0000 0.0000  4 I 2.49, 2 Te 2.59
2 Te 0.0000 0.0000 0.5000  2 Li 2.59
3 Os 0.5000 0.5000 0.5000  4 Te 3.53, 8 I 3.60
4 I 0.0000 0.5000 0.0000  2 Li 2.49
5 I 0.5000 0.0000 0.0000  2 Li 2.49

***

(4)
Here is an optimized crystal structure of LiTe2OsI from Alexandria via LeMat-Bulk. Energies are from GGA-PBEsol.

Computed properties:
calculated density	8.69	Mg/m³
symmetry	P4/mmm

a = 4.7450 Å, b = 4.7450 Å, c = 4.9153 Å
α = 90.00°, β = 90.00°, γ = 90.00°
With the nearest neighbours (Å) after each atom.
Sites, in units of the cell vectors:
1 Li 0.0000 0.0000 0.0000  4 Te 2.37, 2 I 2.46
2 Te 0.0000 0.5000 0.0000  2 Li 2.37
3 Te 0.5000 0.0000 0.0000  2 Li 2.37
4 Os 0.5000 0.5000 0.5000  4 I 3.36, 8 Te 3.42
5 I 0.0000 0.0000 0.5000  2 Li 2.46

***

(5)
Here is an optimized crystal structure of Li2PPtI from Alexandria via LeMat-Bulk. Energies are from GGA-PBEsol.

Computed properties:
calculated density	5.24	Mg/m³
symmetry	P4/mmm

a = 4.6104 Å, b = 4.6104 Å, c = 5.4645 Å
α = 90.00°, β = 90.00°, γ = 90.00°
With the nearest neighbours (Å) after each atom.
Sites, in units of the cell vectors:
1 Li 0.0000 0.5000 0.0000  2 I 2.31
2 Li 0.5000 0.0000 0.0000  2 I 2.31
3 P 0.0000 0.0000 0.5000  2 I 2.73
4 Pt 0.5000 0.5000 0.5000  4 P 3.26, 8 Li 3.57
5 I 0.0000 0.0000 0.0000  4 Li 2.31

***

(6)
Here is an optimized crystal structure of LiPbI3 from Alexandria via LeMat-Bulk. Energies are from GGA-PBEsol.

Computed properties:
calculated density	4.15	Mg/m³
symmetry	Pm-3m

a = 6.1988 Å, b = 6.1988 Å, c = 6.1988 Å
α = 90.00°, β = 90.00°, γ = 90.00°
With the nearest neighbours (Å) after each atom.
Sites, in units of the cell vectors:
1 Li 0.0000 0.0000 0.0000  12 I 4.38
2 Pb 0.5000 0.5000 0.5000  6 I 3.10
3 I 0.0000 0.5000 0.5000  2 Pb 3.10
4 I 0.5000 0.0000 0.5000  2 Pb 3.10
5 I 0.5000 0.5000 0.0000  2 Pb 3.10

***

The records above yield energy relative to the elements, uncorrected values of 0.8222 0.3688 1.2610 1.2377 0.6709 -0.5003 eV per atom, respectively.